No. 1
# SrLi2Sb

A relaxed SrLi2Sb crystal (PBE-GGA, Alexandria).

Calculated values
N(E_F) (states/eV/atom): 0.467
ΔE_f (raw) (eV per atom): -0.550
Total energy (eV/atom): -2.958
Total magnetization (μB per atom): 0.067
Crystal system: monoclinic

Cell: 4.684 4.684 6.070 Å, 109.50 109.50 58.37°
Positions (direct):
Sr1 0.000 0.000 0.000
Li1 0.201 0.201 0.606
Li2 0.799 0.799 0.394
Sb1 0.500 0.500 0.500

=====

No. 2
# Tb2TeS5

A relaxed Tb2TeS5 crystal (PBE-GGA, Alexandria).

Calculated values
ΔE_f (raw) (eV per atom): -1.212
Total energy (eV/atom): -5.342
Total magnetization (μB per atom): 0.000
Crystal system: orthorhombic

Cell: 7.182 7.182 13.015 Å, 90.00 90.00 136.29°
Positions (direct):
Tb1 0.160 0.840 0.566
Tb2 0.160 0.840 0.934
Tb3 0.840 0.160 0.066
Tb4 0.840 0.160 0.434
Te1 0.167 0.833 0.250
Te2 0.833 0.167 0.750
S1 0.044 0.956 0.111
S2 0.044 0.956 0.389
S3 0.272 0.728 0.750
S4 0.308 0.692 0.077
S5 0.308 0.692 0.423
S6 0.692 0.308 0.577
S7 0.692 0.308 0.923
S8 0.728 0.272 0.250
S9 0.956 0.044 0.611
S10 0.956 0.044 0.889

=====

No. 3
# Tb2Pr4NdTm

A relaxed Tb2Pr4NdTm crystal (PBE-GGA, Alexandria).

Calculated values
N(E_F) (states/eV/atom): 1.352
Total energy (eV/atom): -4.687
Total magnetization (μB per atom): 0.000
Crystal system: orthorhombic
ΔE_f (meV per atom): 15

Cell: 5.159 5.193 10.198 Å, 90.00 90.00 90.00°
Positions (direct):
Tb1 0.000 0.000 0.000
Tb2 0.500 0.500 0.500
Pr1 0.000 0.500 0.247
Pr2 0.000 0.500 0.753
Pr3 0.500 0.000 0.247
Pr4 0.500 0.000 0.753
Nd1 0.000 0.000 0.500
Tm1 0.500 0.500 0.000

=====

No. 4
# ThCdPb

A relaxed ThCdPb crystal (PBE-GGA, Alexandria).

Calculated values
N(E_F) (states/eV/atom): 0.404
Total energy (eV/atom): -4.141
Total magnetization (μB per atom): 0.000
Crystal system: trigonal
ΔE_f (meV per atom): -126

Cell: 5.055 5.055 3.827 Å, 90.00 90.00 120.00°
Positions (direct):
Th1 0.000 0.000 0.000
Cd1 0.333 0.667 0.609
Pb1 0.667 0.333 0.428

=====

No. 5
# AcMg2ZnGe2

A relaxed AcMg2ZnGe2 crystal (PBE-GGA, Alexandria).

Calculated values
N(E_F) (states/eV/atom): 0.514
Total energy (eV/atom): -3.048
Total magnetization (μB per atom): 0.000
Crystal system: tetragonal
ΔE_f (meV per atom): -80

Cell: 6.750 6.750 6.750 Å, 134.00 134.00 67.08°
Positions (direct):
Ac1 0.000 0.000 0.000
Mg1 0.250 0.750 0.500
Mg2 0.750 0.250 0.500
Zn1 0.500 0.500 0.000
Ge1 0.293 0.293 0.000
Ge2 0.707 0.707 0.000

=====

No. 6
# PmCd6Au6

A relaxed PmCd6Au6 crystal (PBE-GGA, Alexandria).

Calculated values
N(E_F) (states/eV/atom): 0.369
Total energy (eV/atom): -2.544
Total magnetization (μB per atom): 0.000
Crystal system: hexagonal
ΔE_f (meV per atom): -244
Energy above the lowest structure with this stoichiometry (eV per atom): 0.007

Cell: 5.816 5.816 9.472 Å, 90.00 90.00 120.00°
Positions (direct):
Pm1 0.000 0.000 0.000
Cd1 0.000 0.500 0.253
Cd2 0.000 0.500 0.747
Cd3 0.500 0.000 0.253
Cd4 0.500 0.000 0.747
Cd5 0.500 0.500 0.253
Cd6 0.500 0.500 0.747
Au1 0.000 0.000 0.323
Au2 0.000 0.000 0.677
Au3 0.333 0.667 0.000
Au4 0.333 0.667 0.500
Au5 0.667 0.333 0.000
Au6 0.667 0.333 0.500

=====

No. 7
# MgBe2Hg

A relaxed MgBe2Hg crystal (PBE-GGA, Alexandria).

Calculated values
N(E_F) (states/eV/atom): 0.213
Total energy (eV/atom): -1.925
Total magnetization (μB per atom): 0.000
Crystal system: orthorhombic
ΔE_f (meV per atom): 412
Energy above the lowest structure with this stoichiometry (eV per atom): 0.154

Cell: 3.282 3.331 5.489 Å, 90.00 90.00 90.00°
Positions (direct):
Mg1 0.000 0.000 0.000
Be1 0.500 0.500 0.250
Be2 0.500 0.500 0.750
Hg1 0.000 0.000 0.500

=====

No. 8
# NaAgAu2

A relaxed NaAgAu2 crystal (PBE-GGA, Alexandria).

Calculated values
N(E_F) (states/eV/atom): 0.245
Total energy (eV/atom): -2.793
Total magnetization (μB per atom): 0.000
Crystal system: cubic
ΔE_f (meV per atom): -112
Energy above the lowest structure with this stoichiometry (eV per atom): 0.040

Cell: 4.759 4.759 4.759 Å, 60.00 60.00 60.00°
Positions (direct):
Na1 0.000 0.000 0.000
Ag1 0.500 0.500 0.500
Au1 0.250 0.250 0.250
Au2 0.750 0.750 0.750

=====

No. 9
# PmSbRh3

A relaxed PmSbRh3 crystal (PBE-GGA, Alexandria).

Calculated values
N(E_F) (states/eV/atom): 0.631
ΔE_f (raw) (eV per atom): -0.571
Total energy (eV/atom): -6.757
Total magnetization (μB per atom): 0.000
Crystal system: orthorhombic
Energy above the lowest structure with this stoichiometry (eV per atom): 0.000

Cell: 6.938 6.938 5.132 Å, 90.00 90.00 129.17°
Positions (direct):
Pm1 0.098 0.902 0.750
Pm2 0.902 0.098 0.250
Sb1 0.316 0.684 0.250
Sb2 0.684 0.316 0.750
Rh1 0.114 0.436 0.750
Rh2 0.436 0.114 0.250
Rh3 0.500 0.500 0.000
Rh4 0.500 0.500 0.500
Rh5 0.564 0.886 0.750
Rh6 0.886 0.564 0.250

=====

No. 10
# CsC2

A relaxed CsC2 crystal (PBE-GGA, Alexandria).

Calculated values
N(E_F) (states/eV/atom): 0.687
Total energy (eV/atom): -5.135
Total magnetization (μB per atom): 0.338
Crystal system: tetragonal
ΔE_f (meV per atom): 1299
Energy above the lowest structure with this stoichiometry (eV per atom): 0.366

Cell: 6.139 6.139 6.139 Å, 119.69 119.69 90.54°
Positions (direct):
Cs1 0.250 0.250 0.000
Cs2 0.750 0.750 0.000
C1 0.073 0.573 0.645
C2 0.427 0.073 0.500
C3 0.573 0.927 0.500
C4 0.927 0.427 0.355

=====

No. 11
# Li2Al4Pd3

A relaxed Li2Al4Pd3 crystal (PBE-GGA, Alexandria).

Calculated values
N(E_F) (states/eV/atom): 0.264
Total energy (eV/atom): -4.410
Total magnetization (μB per atom): 0.000
Crystal system: monoclinic
ΔE_f (meV per atom): -591

Cell: 8.747 8.747 4.324 Å, 104.20 104.20 59.36°
Positions (direct):
Li1 0.073 0.337 0.454
Li2 0.337 0.073 0.954
Li3 0.663 0.927 0.046
Li4 0.927 0.663 0.546
Al1 0.036 0.761 0.149
Al2 0.239 0.964 0.351
Al3 0.288 0.526 0.656
Al4 0.474 0.712 0.844
Al5 0.526 0.288 0.156
Al6 0.712 0.474 0.344
Al7 0.761 0.036 0.649
Al8 0.964 0.239 0.851
Pd1 0.119 0.881 0.750
Pd2 0.188 0.425 0.056
Pd3 0.425 0.188 0.556
Pd4 0.575 0.812 0.444
Pd5 0.812 0.575 0.944
Pd6 0.881 0.119 0.250

=====

No. 12
# La3TbZn2

A relaxed La3TbZn2 crystal (PBE-GGA, Alexandria).

Calculated values
N(E_F) (states/eV/atom): 1.254
Total energy (eV/atom): -3.852
Total magnetization (μB per atom): 0.000
Crystal system: tetragonal
ΔE_f (meV per atom): -192
Energy above the lowest structure with this stoichiometry (eV per atom): 0.015

Cell: 3.764 3.764 12.478 Å, 90.00 90.00 90.00°
Positions (direct):
La1 0.000 0.000 0.000
La2 0.000 0.000 0.297
La3 0.000 0.000 0.703
Tb1 0.500 0.500 0.500
Zn1 0.500 0.500 0.152
Zn2 0.500 0.500 0.848

=====

No. 13
# LiTaFeRh

A relaxed LiTaFeRh crystal (PBE-GGA, Alexandria).

Calculated values
N(E_F) (states/eV/atom): 0.989
Total energy (eV/atom): -7.561
Total magnetization (μB per atom): 0.000
Crystal system: cubic
ΔE_f (meV per atom): -166

Cell: 4.246 4.246 4.246 Å, 60.00 60.00 60.00°
Positions (direct):
Li1 0.000 0.000 0.000
Ta1 0.500 0.500 0.500
Fe1 0.750 0.750 0.750
Rh1 0.250 0.250 0.250

=====

No. 14
# ZnReAs2

A relaxed ZnReAs2 crystal (PBE-GGA, Alexandria).

Calculated values
N(E_F) (states/eV/atom): 0.851
Total energy (eV/atom): -5.396
Total magnetization (μB per atom): 0.000
Crystal system: orthorhombic
ΔE_f (meV per atom): 360

Cell: 2.887 2.887 9.837 Å, 90.00 90.00 114.95°
Positions (direct):
Zn1 0.000 0.000 0.000
Re1 0.500 0.500 0.778
As1 0.000 0.000 0.582
As2 0.500 0.500 0.218

=====

No. 15
# SrHgRu

A relaxed SrHgRu crystal (PBE-GGA, Alexandria).

Calculated values
N(E_F) (states/eV/atom): 1.923
Total energy (eV/atom): -3.255
Total magnetization (μB per atom): 0.119
Crystal system: cubic
ΔE_f (meV per atom): 498
Energy above the lowest structure with this stoichiometry (eV per atom): 0.247

Cell: 4.806 4.806 4.806 Å, 60.00 60.00 60.00°
Positions (direct):
Sr1 0.000 0.000 0.000
Hg1 0.500 0.500 0.500
Ru1 0.750 0.750 0.750

=====

No. 16
# Ta3Ir4

A relaxed Ta3Ir4 crystal (PBE-GGA, Alexandria).

Calculated values
N(E_F) (states/eV/atom): 1.118
Total energy (eV/atom): -10.479
Total magnetization (μB per atom): 0.000
Crystal system: tetragonal
ΔE_f (meV per atom): -335
Energy above the lowest structure with this stoichiometry (eV per atom): 0.000

Cell: 10.612 10.612 10.612 Å, 161.91 161.91 25.69°
Positions (direct):
Ta1 0.000 0.000 0.000
Ta2 0.294 0.294 0.000
Ta3 0.706 0.706 0.000
Ir1 0.149 0.149 0.000
Ir2 0.433 0.433 0.000
Ir3 0.567 0.567 0.000
Ir4 0.851 0.851 0.000

=====

No. 17
# HgGeSN2

A relaxed HgGeSN2 crystal (PBE-GGA, Alexandria).

Calculated values
N(E_F) (states/eV/atom): 0.575
ΔE_f (raw) (eV per atom): 1.096
Total energy (eV/atom): -4.044
Total magnetization (μB per atom): 0.003
Crystal system: tetragonal
Energy above the lowest structure with this stoichiometry (eV per atom): 0.000

Cell: 3.696 3.696 6.233 Å, 90.00 90.00 90.00°
Positions (direct):
Hg1 0.000 0.000 0.000
Ge1 0.500 0.500 0.500
S1 0.500 0.500 0.000
N1 0.000 0.500 0.500
N2 0.500 0.000 0.500

=====

No. 18
# Pm2GaCuPt6

A relaxed Pm2GaCuPt6 crystal (PBE-GGA, Alexandria).

Calculated values
N(E_F) (states/eV/atom): 0.705
Total energy (eV/atom): -5.597
Total magnetization (μB per atom): 0.000
Crystal system: cubic
ΔE_f (meV per atom): -310

Cell: 6.633 6.633 6.633 Å, 60.00 60.00 60.00°
Positions (direct):
Pm1 0.250 0.250 0.250
Pm2 0.750 0.750 0.750
Ga1 0.000 0.000 0.000
Cu1 0.500 0.500 0.500
Pt1 0.250 0.250 0.750
Pt2 0.250 0.750 0.250
Pt3 0.250 0.750 0.750
Pt4 0.750 0.250 0.250
Pt5 0.750 0.250 0.750
Pt6 0.750 0.750 0.250

=====

No. 19
# ZnMoRu

A relaxed ZnMoRu crystal (PBE-GGA, Alexandria).

Calculated values
N(E_F) (states/eV/atom): 1.139
Total energy (eV/atom): -6.949
Total magnetization (μB per atom): 0.001
Crystal system: orthorhombic
ΔE_f (meV per atom): 178
Energy above the lowest structure with this stoichiometry (eV per atom): 0.193

Cell: 7.045 6.841 2.701 Å, 83.07 74.56 22.37°
Positions (direct):
Zn1 0.000 0.000 0.000
Mo1 0.326 0.326 0.674
Ru1 0.666 0.666 0.334

=====

No. 20
# Tl6HgSeS2

A relaxed Tl6HgSeS2 crystal (PBE-GGA, Alexandria).

Calculated values
ΔE_f (raw) (eV per atom): -0.255
Total energy (eV/atom): -2.879
Total magnetization (μB per atom): 0.000
Crystal system: triclinic

Cell: 7.519 7.522 7.913 Å, 118.37 90.01 119.98°
Positions (direct):
Tl1 0.000 0.000 0.000
Tl2 0.007 0.834 0.416
Tl3 0.184 0.593 0.000
Tl4 0.418 0.593 0.416
Tl5 0.590 0.184 0.000
Tl6 0.765 0.182 0.416
Hg1 0.549 0.506 0.870
Se1 0.157 0.724 0.698
S1 0.411 0.232 0.460
S2 0.832 0.073 0.721